This record from Alexandria via LeMat-Bulk describes an optimized crystal structure of BaLiNdBr6. The functional is PBE.

a = 7.3451 Å, b = 7.3451 Å, c = 14.1040 Å
α = 90.00°, β = 90.00°, γ = 120.00°
Positions (direct):
Ba  0.0000  0.0000  0.0000
Ba  0.0000  0.0000  0.5000
Li  0.3333  0.6667  0.2500
Li  0.6667  0.3333  0.7500
Nd  0.3333  0.6667  0.7500
Nd  0.6667  0.3333  0.2500
Br  0.0110  0.3685  0.1347
Br  0.0110  0.6425  0.3653
Br  0.3575  0.3685  0.3653
Br  0.3575  0.9890  0.1347
Br  0.3685  0.0110  0.6347
Br  0.3685  0.3575  0.8653
Br  0.6315  0.6425  0.1347
Br  0.6315  0.9890  0.3653
Br  0.6425  0.0110  0.8653
Br  0.6425  0.6315  0.6347
Br  0.9890  0.3575  0.6347
Br  0.9890  0.6315  0.8653

Computed properties:
Density of states at the Fermi level, states/eV per cell: 0.0
Raw total energy, eV/atom: -3.957
Energy relative to the elements, uncorrected, meV per atom: -1886

***

This record from Alexandria via LeMat-Bulk describes an optimized crystal structure of BaLi2NdBr8. The functional is PBE.

a = 7.0835 Å, b = 7.0835 Å, c = 9.3589 Å
α = 90.00°, β = 90.00°, γ = 120.00°
Positions (direct):
Ba  0.0000  0.0000  0.0000
Li  0.3333  0.6667  0.7367
Li  0.6667  0.3333  0.2633
Nd  0.0000  0.0000  0.5000
Br  0.0102  0.6935  0.3001
Br  0.3065  0.3166  0.3001
Br  0.3166  0.0102  0.6999
Br  0.3333  0.6667  0.0032
Br  0.6667  0.3333  0.9968
Br  0.6834  0.9898  0.3001
Br  0.6935  0.6834  0.6999
Br  0.9898  0.3065  0.6999

Computed properties:
Density of states at the Fermi level, states/eV per cell: 14.3
Raw total energy, eV/atom: -3.523
Energy relative to the elements, uncorrected, meV per atom: -1531

***

This record from Alexandria via LeMat-Bulk describes an optimized crystal structure of Ba2LiNiBr. The functional is PBE.

a = 6.3849 Å, b = 6.3849 Å, c = 4.5413 Å
α = 90.00°, β = 90.00°, γ = 90.00°
Positions (direct):
Ba  0.0000  0.5000  0.0000
Ba  0.5000  0.0000  0.0000
Li  0.0000  0.0000  0.5000
Ni  0.5000  0.5000  0.5000
Br  0.5000  0.5000  0.0000

Computed properties:
Density of states at the Fermi level, states/eV per cell: 5.2
Energy above the lowest structure with this stoichiometry, kJ/mol of formula units: 0
Raw total energy, eV/atom: -2.831
Energy relative to the elements, uncorrected, meV per atom: -188

***

This record from Alexandria via LeMat-Bulk describes an optimized crystal structure of Ba2LiNiBr. The functional is PBE.

a = 6.2645 Å, b = 6.2645 Å, c = 4.5732 Å
α = 90.00°, β = 90.00°, γ = 90.00°
Positions (direct):
Ba  0.0000  0.5000  0.0000
Ba  0.5000  0.0000  0.0000
Li  0.0000  0.0000  0.5000
Ni  0.5000  0.5000  0.5000
Br  0.0000  0.0000  0.0000

Computed properties:
Density of states at the Fermi level, states/eV per cell: 5.3
Energy above the lowest structure with this stoichiometry, kJ/mol of formula units: 6
Raw total energy, eV/atom: -2.819
Energy relative to the elements, uncorrected, meV per atom: -176

***

This record from Alexandria via LeMat-Bulk describes an optimized crystal structure of BaLiBr2O6. The functional is PBE.

a = 7.2806 Å, b = 7.2806 Å, c = 7.2083 Å
α = 102.47°, β = 102.47°, γ = 105.09°
Positions (direct):
Ba  0.2233  0.7767  0.7500
Ba  0.7767  0.2233  0.2500
Li  0.3443  0.6557  0.2500
Li  0.6557  0.3443  0.7500
Br  0.0800  0.2843  0.8482
Br  0.2843  0.0800  0.3482
Br  0.7157  0.9200  0.6518
Br  0.9200  0.7157  0.1518
O  0.0568  0.6342  0.3301
O  0.1607  0.2208  0.2479
O  0.2208  0.1607  0.7479
O  0.2633  0.5220  0.9645
O  0.3658  0.9432  0.1699
O  0.4780  0.7367  0.5355
O  0.5220  0.2633  0.4645
O  0.6342  0.0568  0.8301
O  0.7367  0.4780  0.0355
O  0.7792  0.8393  0.2521
O  0.8393  0.7792  0.7521
O  0.9432  0.3658  0.6699

Computed properties:
Density of states at the Fermi level, states/eV per cell: 3.4
Raw total energy, eV/atom: -4.398
Energy relative to the elements, uncorrected, meV per atom: -705

***

This record from Alexandria via LeMat-Bulk describes an optimized crystal structure of BaLi2OsBr8. The functional is PBE.

a = 6.4289 Å, b = 6.8136 Å, c = 9.0138 Å
α = 89.43°, β = 89.56°, γ = 79.93°
Positions (direct):
Ba  0.0000  0.0000  0.0000
Li  0.4946  0.4978  0.1980
Li  0.5054  0.5022  0.8020
Os  0.0000  0.0000  0.5000
Br  0.1936  0.2762  0.4974
Br  0.2517  0.8288  0.6992
Br  0.2532  0.8294  0.3010
Br  0.3101  0.3306  0.9987
Br  0.6899  0.6694  0.0013
Br  0.7468  0.1706  0.6990
Br  0.7483  0.1712  0.3008
Br  0.8064  0.7238  0.5026

Computed properties:
Density of states at the Fermi level, states/eV per cell: 1.7
Raw total energy, eV/atom: -3.548
Energy relative to the elements, uncorrected, meV per atom: -1017

***

This record from Alexandria via LeMat-Bulk describes an optimized crystal structure of BaLi2PaBr8. The functional is PBE.

a = 6.7503 Å, b = 6.7818 Å, c = 9.5302 Å
α = 89.80°, β = 89.78°, γ = 83.16°
Positions (direct):
Ba  0.0000  0.0000  0.0000
Li  0.4987  0.4987  0.1828
Li  0.5013  0.5013  0.8172
Pa  0.0000  0.0000  0.5000
Br  0.2291  0.7948  0.2791
Br  0.2292  0.7950  0.7207
Br  0.2563  0.2826  0.4982
Br  0.3068  0.3273  0.9997
Br  0.6932  0.6727  0.0003
Br  0.7437  0.7174  0.5018
Br  0.7708  0.2050  0.2793
Br  0.7709  0.2052  0.7209

Computed properties:
Density of states at the Fermi level, states/eV per cell: 0.9
Raw total energy, eV/atom: -4.003
Energy relative to the elements, uncorrected, meV per atom: -1618

***

This record from Alexandria via LeMat-Bulk describes an optimized crystal structure of BaLiPbBr2. The functional is PBE.

a = 6.0128 Å, b = 6.0128 Å, c = 7.9149 Å
α = 90.00°, β = 90.00°, γ = 90.00°
Positions (direct):
Ba  0.0000  0.0000  0.0000
Li  0.0000  0.0000  0.5000
Pb  0.5000  0.5000  0.5000
Br  0.0000  0.5000  0.0000
Br  0.5000  0.0000  0.0000

Computed properties:
Density of states at the Fermi level, states/eV per cell: 4.2
Raw total energy, eV/atom: -2.667
Energy relative to the elements, uncorrected, meV per atom: -489